# Na2InPbAu PBE optimized geometry
# **Crystal system**: tetragonal
# **Electronic total energy**: -0.1573 Ry per atom
# **Space-group type**: P4/mmm
# **ΔH_f (0 K)**: 0.3318 eV/atom
# **DOS(E_F)**: 0.72 states/eV/atom
data_Na2InPbAu
_cell_length_a 5.904
_cell_length_b 5.904
_cell_length_c 5.673
_cell_angle_alpha 90.00
_cell_angle_beta 90.00
_cell_angle_gamma 90.00
_space_group_name_H-M_alt 'P 1'
_space_group_IT_number 1
_space_group_name_Hall 'P 1'
loop_
_atom_site_label
_atom_site_type_symbol
_atom_site_fract_x
_atom_site_fract_y
_atom_site_fract_z
Na1 Na 0.000 0.500 0.000
Na2 Na 0.500 0.000 0.000
In1 In 0.000 0.000 0.500
Pb1 Pb 0.000 0.000 0.000
Au1 Au 0.500 0.500 0.500

# KBaTe2 PBE optimized geometry
# **Crystal system**: orthorhombic
# **Raw formation energy**: -1.1867 eV/atom
# **Electronic total energy**: -0.2582 Ry per atom
# **Space-group type**: Cmmm
# **DOS(E_F)**: 0.22 states/eV/atom
data_KBaTe2
_cell_length_a 7.395
_cell_length_b 8.890
_cell_length_c 4.483
_cell_angle_alpha 90.00
_cell_angle_beta 90.00
_cell_angle_gamma 90.00
_space_group_name_H-M_alt 'P 1'
_space_group_IT_number 1
_space_group_name_Hall 'P 1'
loop_
_atom_site_label
_atom_site_type_symbol
_atom_site_fract_x
_atom_site_fract_y
_atom_site_fract_z
K1 K 0.000 0.000 0.000
K2 K 0.500 0.500 0.000
Ba1 Ba 0.000 0.500 0.000
Ba2 Ba 0.500 0.000 0.000
Te1 Te 0.250 0.250 0.500
Te2 Te 0.250 0.750 0.500
Te3 Te 0.750 0.250 0.500
Te4 Te 0.750 0.750 0.500

# K3Tb3AlS8 PBE optimized geometry
# **Crystal system**: trigonal
# **Raw formation energy**: -1.5749 eV/atom
# **Electronic total energy**: -0.3801 Ry per atom
# **Space-group type**: R-3m
# **DOS(E_F)**: 0.84 states/eV/atom
data_K3Tb3AlS8
_cell_length_a 8.811
_cell_length_b 8.811
_cell_length_c 8.811
_cell_angle_alpha 53.09
_cell_angle_beta 53.09
_cell_angle_gamma 53.09
_space_group_name_H-M_alt 'P 1'
_space_group_IT_number 1
_space_group_name_Hall 'P 1'
loop_
_atom_site_label
_atom_site_type_symbol
_atom_site_fract_x
_atom_site_fract_y
_atom_site_fract_z
K1 K 0.000 0.500 0.500
K2 K 0.500 0.000 0.500
K3 K 0.500 0.500 0.000
Tb1 Tb 0.000 0.000 0.500
Tb2 Tb 0.000 0.500 0.000
Tb3 Tb 0.500 0.000 0.000
Al1 Al 0.500 0.500 0.500
S1 S 0.235 0.235 0.235
S2 S 0.258 0.714 0.714
S3 S 0.286 0.286 0.742
S4 S 0.286 0.742 0.286
S5 S 0.714 0.258 0.714
S6 S 0.714 0.714 0.258
S7 S 0.742 0.286 0.286
S8 S 0.765 0.765 0.765

# Tm7HgRh4 PBE optimized geometry
# **Crystal system**: monoclinic
# **Electronic total energy**: -0.4131 Ry per atom
# **Space-group type**: C2/m
# **ΔH_f (0 K)**: -0.5371 eV/atom
# **DOS(E_F)**: 0.58 states/eV/atom
data_Tm7HgRh4
_cell_length_a 7.272
_cell_length_b 7.272
_cell_length_c 9.507
_cell_angle_alpha 122.59
_cell_angle_beta 122.59
_cell_angle_gamma 43.49
_space_group_name_H-M_alt 'P 1'
_space_group_IT_number 1
_space_group_name_Hall 'P 1'
loop_
_atom_site_label
_atom_site_type_symbol
_atom_site_fract_x
_atom_site_fract_y
_atom_site_fract_z
Tm1 Tm 0.000 0.000 0.000
Tm2 Tm 0.176 0.176 0.623
Tm3 Tm 0.286 0.286 0.124
Tm4 Tm 0.426 0.426 0.634
Tm5 Tm 0.574 0.574 0.366
Tm6 Tm 0.714 0.714 0.876
Tm7 Tm 0.824 0.824 0.377
Hg1 Hg 0.500 0.500 0.000
Rh1 Rh 0.067 0.067 0.777
Rh2 Rh 0.205 0.205 0.346
Rh3 Rh 0.795 0.795 0.654
Rh4 Rh 0.933 0.933 0.223

# Li2FeAu PBE optimized geometry
# **Crystal system**: orthorhombic
# **Electronic total energy**: -0.2869 Ry per atom
# **Space-group type**: Pmm2
# **ΔH_f (0 K)**: -0.0111 eV/atom
# **DOS(E_F)**: 0.63 states/eV/atom
data_Li2FeAu
_cell_length_a 2.699
_cell_length_b 4.071
_cell_length_c 5.464
_cell_angle_alpha 90.00
_cell_angle_beta 90.00
_cell_angle_gamma 90.00
_space_group_name_H-M_alt 'P 1'
_space_group_IT_number 1
_space_group_name_Hall 'P 1'
loop_
_atom_site_label
_atom_site_type_symbol
_atom_site_fract_x
_atom_site_fract_y
_atom_site_fract_z
Li1 Li 0.000 0.000 0.000
Li2 Li 0.500 0.500 0.251
Fe1 Fe 0.500 0.500 0.732
Au1 Au 0.000 0.000 0.509

# Dy12Tm5Te3 PBE optimized geometry
# **Crystal system**: cubic
# **Raw formation energy**: 0.5629 eV/atom
# **Electronic total energy**: -0.2784 Ry per atom
# **Space-group type**: Ia-3d
# **DOS(E_F)**: 1.32 states/eV/atom
data_Dy12Tm5Te3
_cell_length_a 15.729
_cell_length_b 15.729
_cell_length_c 15.729
_cell_angle_alpha 109.47
_cell_angle_beta 109.47
_cell_angle_gamma 109.47
_space_group_name_H-M_alt 'P 1'
_space_group_IT_number 1
_space_group_name_Hall 'P 1'
loop_
_atom_site_label
_atom_site_type_symbol
_atom_site_fract_x
_atom_site_fract_y
_atom_site_fract_z
Dy1 Dy 0.068 0.642 0.413
Dy2 Dy 0.068 0.926 0.655
Dy3 Dy 0.074 0.229 0.142
Dy4 Dy 0.074 0.345 0.932
Dy5 Dy 0.087 0.729 0.655
Dy6 Dy 0.087 0.858 0.432
Dy7 Dy 0.142 0.074 0.229
Dy8 Dy 0.142 0.568 0.913
Dy9 Dy 0.155 0.229 0.587
Dy10 Dy 0.155 0.426 0.568
Dy11 Dy 0.229 0.142 0.074
Dy12 Dy 0.229 0.587 0.155
Dy13 Dy 0.271 0.345 0.913
Dy14 Dy 0.271 0.426 0.358
Dy15 Dy 0.345 0.913 0.271
Dy16 Dy 0.345 0.932 0.074
Dy17 Dy 0.358 0.271 0.426
Dy18 Dy 0.358 0.587 0.932
Dy19 Dy 0.413 0.068 0.642
Dy20 Dy 0.413 0.845 0.771
Dy21 Dy 0.426 0.358 0.271
Dy22 Dy 0.426 0.568 0.155
Dy23 Dy 0.432 0.087 0.858
Dy24 Dy 0.432 0.845 0.574
Dy25 Dy 0.568 0.155 0.426
Dy26 Dy 0.568 0.913 0.142
Dy27 Dy 0.574 0.432 0.845
Dy28 Dy 0.574 0.642 0.729
Dy29 Dy 0.587 0.155 0.229
Dy30 Dy 0.587 0.932 0.358
Dy31 Dy 0.642 0.413 0.068
Dy32 Dy 0.642 0.729 0.574
Dy33 Dy 0.655 0.068 0.926
Dy34 Dy 0.655 0.087 0.729
Dy35 Dy 0.729 0.574 0.642
Dy36 Dy 0.729 0.655 0.087
Dy37 Dy 0.771 0.413 0.845
Dy38 Dy 0.771 0.858 0.926
Dy39 Dy 0.845 0.574 0.432
Dy40 Dy 0.845 0.771 0.413
Dy41 Dy 0.858 0.432 0.087
Dy42 Dy 0.858 0.926 0.771
Dy43 Dy 0.913 0.142 0.568
Dy44 Dy 0.913 0.271 0.345
Dy45 Dy 0.926 0.655 0.068
Dy46 Dy 0.926 0.771 0.858
Dy47 Dy 0.932 0.074 0.345
Dy48 Dy 0.932 0.358 0.587
Tm1 Tm 0.000 0.000 0.000
Tm2 Tm 0.000 0.000 0.500
Tm3 Tm 0.000 0.500 0.000
Tm4 Tm 0.000 0.500 0.500
Tm5 Tm 0.125 0.750 0.875
Tm6 Tm 0.125 0.875 0.250
Tm7 Tm 0.250 0.125 0.875
Tm8 Tm 0.250 0.625 0.375
Tm9 Tm 0.375 0.250 0.625
Tm10 Tm 0.375 0.625 0.750
Tm11 Tm 0.500 0.000 0.000
Tm12 Tm 0.500 0.000 0.500
Tm13 Tm 0.500 0.500 0.000
Tm14 Tm 0.500 0.500 0.500
Tm15 Tm 0.625 0.375 0.250
Tm16 Tm 0.625 0.750 0.375
Tm17 Tm 0.750 0.375 0.625
Tm18 Tm 0.750 0.875 0.125
Tm19 Tm 0.875 0.125 0.750
Tm20 Tm 0.875 0.250 0.125
Te1 Te 0.125 0.250 0.375
Te2 Te 0.125 0.375 0.750
Te3 Te 0.250 0.375 0.125
Te4 Te 0.250 0.875 0.625
Te5 Te 0.375 0.125 0.250
Te6 Te 0.375 0.750 0.125
Te7 Te 0.625 0.250 0.875
Te8 Te 0.625 0.875 0.750
Te9 Te 0.750 0.125 0.375
Te10 Te 0.750 0.625 0.875
Te11 Te 0.875 0.625 0.250
Te12 Te 0.875 0.750 0.625